# Tb6Pm2Ho3Tl (PBE, relaxed)
# - D(E_F): 14.97 states/eV/f.u.
# - Formation energy: -0.03 eV/atom
# - Magnetization: 0.0 Bohr magnetons per cell
# - Theoretical density: 8.64 g/cm3
data_Tb6Pm2Ho3Tl
_chemical_formula_sum 'Tb12 Pm4 Ho6 Tl2'
_cell_length_a 6.108
_cell_length_b 10.586
_cell_length_c 11.734
_cell_angle_alpha 90.00
_cell_angle_beta 100.02
_cell_angle_gamma 90.00
_symmetry_space_group_name_H-M 'C 1 2/m 1'
_symmetry_Int_Tables_number 12
loop_
_symmetry_equiv_pos_as_xyz
'x,y,z'
'-x,-y,-z'
'-x,y,-z'
'x,-y,z'
'x+1/2,y+1/2,z'
'-x+1/2,-y+1/2,-z'
'-x+1/2,y+1/2,-z'
'x+1/2,-y+1/2,z'
loop_
_atom_site_label
_atom_site_type_symbol
_atom_site_fract_x
_atom_site_fract_y
_atom_site_fract_z
_atom_site_occupancy
Tb1 Tb 0.244 0.000 0.248 1
Tb2 Tb 0.248 0.164 0.751 1
Pm1 Pm 0.000 0.334 0.500 1
Ho1 Ho 0.000 0.167 0.000 1
Ho2 Ho 0.000 0.500 0.000 1
Tl1 Tl 0.000 0.000 0.500 1

=====

# TbPmHo2Tl4 (PBE, relaxed)
# - D(E_F): 6.68 states/eV/f.u.
# - Formation energy: -0.35 eV/atom
# - Magnetization: 0.0 Bohr magnetons per cell
# - Theoretical density: 10.85 g/cm3
data_TbPmHo2Tl4
_chemical_formula_sum 'Tb3 Pm3 Ho6 Tl12'
_cell_length_a 5.3921
_cell_length_b 5.3921
_cell_length_c 26.4726
_cell_angle_alpha 90.00
_cell_angle_beta 90.00
_cell_angle_gamma 120.00
_symmetry_space_group_name_H-M 'R -3 m'
_symmetry_Int_Tables_number 166
_symmetry_space_group_name_Hall '-R 3 2"'
loop_
_atom_site_label
_atom_site_type_symbol
_atom_site_fract_x
_atom_site_fract_y
_atom_site_fract_z
_atom_site_occupancy
Tb1 Tb 0.0000 0.0000 0.0000 1
Pm1 Pm 0.0000 0.0000 0.5000 1
Ho1 Ho 0.0000 0.0000 0.2503 1
Tl1 Tl 0.0000 0.0000 0.1240 1
Tl2 Tl 0.0000 0.0000 0.3741 1